! NpPd6Rh, relaxed, DFT GGA-PBE; values from VASP
! Calculated density = 12.45 g/cm³
! Symmetry = P4/mmm, No. 123
! DFT total energy = -6.613 eV per atom
! DFT formation energy = -140 kJ/mol of formula units
&SYSTEM
  ibrav = 0, nat = 8, ntyp = 3
/
ATOMIC_SPECIES
Np 237.00 Np.upf
Pd 106.42 Pd.upf
Rh 102.91 Rh.upf
CELL_PARAMETERS angstrom
5.6913 0.0000 0.0000
0.0000 5.6913 0.0000
0.0000 0.0000 4.0304
ATOMIC_POSITIONS crystal
Np 0.0000 0.0000 0.0000
Pd 0.0000 0.5000 0.0000
Pd 0.2538 0.2538 0.5000
Pd 0.2538 0.7462 0.5000
Pd 0.5000 0.0000 0.0000
Pd 0.7462 0.2538 0.5000
Pd 0.7462 0.7462 0.5000
Rh 0.5000 0.5000 0.0000



! YNi2Ge, relaxed, DFT GGA-PBE; values from VASP
! Calculated density = 6.45 g/cm³
! Symmetry = Pmmm, No. 47
! DFT total energy = -6.046 eV per atom
! DFT formation energy = -149 kJ/mol of formula units
&SYSTEM
  ibrav = 0, nat = 4, ntyp = 3
/
ATOMIC_SPECIES
Y 88.91 Y.upf
Ni 58.69 Ni.upf
Ge 72.64 Ge.upf
CELL_PARAMETERS angstrom
3.6144 0.0000 0.0000
0.0000 3.9241 0.0000
0.0000 0.0000 5.0598
ATOMIC_POSITIONS crystal
Y 0.0000 0.0000 0.0000
Ni 0.5000 0.5000 0.2444
Ni 0.5000 0.5000 0.7556
Ge 0.5000 0.0000 0.5000



! ScSbSe, relaxed, DFT GGA-PBE; values from VASP
! Calculated density = 4.80 g/cm³
! Symmetry = P3m1, No. 156
! DFT total energy = -5.475 eV per atom
&SYSTEM
  ibrav = 0, nat = 3, ntyp = 3
/
ATOMIC_SPECIES
Sc 44.96 Sc.upf
Sb 121.76 Sb.upf
Se 78.96 Se.upf
CELL_PARAMETERS angstrom
3.6021 0.0000 0.0000
-1.8010 3.1195 0.0000
0.0000 0.0000 7.5597
ATOMIC_POSITIONS crystal
Sc 0.0000 0.0000 0.0000
Sb 0.6667 0.3333 0.6695
Se 0.3333 0.6667 0.1973



! Y2Al4InPt3, relaxed, DFT GGA-PBE; values from VASP
! Calculated density = 8.44 g/cm³
! Symmetry = P-4m2, No. 115
! DFT total energy = -5.813 eV per atom
! DFT formation energy = -904 kJ/mol of formula units
&SYSTEM
  ibrav = 0, nat = 10, ntyp = 4
/
ATOMIC_SPECIES
Y 88.91 Y.upf
Al 26.98 Al.upf
In 114.82 In.upf
Pt 195.08 Pt.upf
CELL_PARAMETERS angstrom
4.2359 0.0000 0.0000
0.0000 4.2359 0.0000
0.0000 0.0000 10.8127
ATOMIC_POSITIONS crystal
Y 0.0000 0.5000 0.2389
Y 0.5000 0.0000 0.7611
Al 0.0000 0.0000 0.0000
Al 0.0000 0.5000 0.6488
Al 0.5000 0.0000 0.3512
Al 0.5000 0.5000 0.0000
In 0.0000 0.0000 0.5000
Pt 0.0000 0.5000 0.8722
Pt 0.5000 0.0000 0.1278
Pt 0.5000 0.5000 0.5000